A relaxed Pm5Ga2Hg2 crystal. Source: the Alexandria database, functional PBE.

a b c (Å): 9.177 9.177 7.794
angles (deg): 90.00 90.00 50.92
Positions (direct):
Pm 0.000 0.000 0.000
Pm 0.053 0.682 0.676
Pm 0.182 0.553 0.176
Pm 0.318 0.947 0.676
Pm 0.447 0.818 0.176
Pm 0.500 0.500 0.500
Pm 0.553 0.182 0.824
Pm 0.682 0.053 0.324
Pm 0.818 0.447 0.824
Pm 0.947 0.318 0.324
Ga 0.117 0.883 0.383
Ga 0.383 0.617 0.883
Ga 0.617 0.383 0.117
Ga 0.883 0.117 0.617
Hg 0.216 0.216 0.000
Hg 0.284 0.284 0.500
Hg 0.716 0.716 0.500
Hg 0.784 0.784 0.000

Computed properties:
volume = 509.5 Å³ per cell
ΔH_f (0 K) = -0.47 eV/atom
electronic total energy = -3.8529 eV per atom
N(E_F) = 15.65 states/eV per cell